1.
A relaxed structure of SmYHgAu. Source: Alexandria, functional PBE-GGA.

a = 3.7029 Å, b = 3.7029 Å, c = 7.3913 Å
α = 90.00°, β = 90.00°, γ = 90.00°
Atoms (fractional coordinates):
1 Hg 0.0000 0.0000 0.8494
2 Y 0.5000 0.5000 0.5956
3 Sm 0.5000 0.5000 0.1167
4 Au 0.0000 0.0000 0.3662

Values from the calculation:
Size of the total moment   0.000 μB/cell
DOS(E_F)   3.31 states/eV/cell
Energy above the lowest structure with this stoichiometry   0.000 eV/atom
Symmetry   No. 99


2.
A relaxed structure of Ga5Ag3Sn12. Source: Alexandria, functional PBE-GGA.

a = 14.2444 Å, b = 14.2444 Å, c = 14.2444 Å
α = 109.47°, β = 109.47°, γ = 109.47°
Atoms (fractional coordinates):
1 Sn 0.2696 0.3974 0.8294
2 Sn 0.3722 0.4320 0.1026
3 Ga 0.0000 0.5000 0.0000
4 Sn 0.7696 0.4402 0.3722
5 Ga 0.5000 0.0000 0.5000
6 Sn 0.0598 0.4320 0.8294
7 Ag 0.7500 0.3750 0.1250
8 Sn 0.9320 0.1026 0.8722
9 Ga 0.7500 0.6250 0.3750
10 Ag 0.8750 0.7500 0.1250
11 Sn 0.1706 0.0680 0.9402
12 Sn 0.0598 0.6278 0.7304
13 Sn 0.4402 0.6706 0.0680
14 Sn 0.1278 0.3974 0.0680
15 Ga 0.0000 0.5000 0.5000
16 Ag 0.6250 0.2500 0.3750
17 Ga 0.2500 0.3750 0.6250
18 Sn 0.3294 0.5598 0.4320
19 Sn 0.6706 0.2304 0.6026
20 Ga 0.0000 0.0000 0.0000
21 Ag 0.1250 0.8750 0.7500
22 Ga 0.2500 0.8750 0.1250
23 Sn 0.0680 0.1706 0.4402
24 Sn 0.7696 0.3294 0.8974
25 Sn 0.3294 0.7696 0.3974
26 Sn 0.3974 0.1278 0.5680
27 Ag 0.2500 0.1250 0.3750
28 Sn 0.3722 0.9402 0.7696
29 Sn 0.1026 0.1706 0.2304
30 Ag 0.3750 0.6250 0.2500
31 Ga 0.5000 0.0000 0.0000
32 Sn 0.4320 0.3722 0.6026
33 Sn 0.8974 0.8294 0.7696
34 Ga 0.7500 0.1250 0.8750
35 Sn 0.9320 0.8294 0.5598
36 Sn 0.8294 0.9320 0.0598
37 Sn 0.4320 0.0598 0.3294
38 Sn 0.9402 0.3722 0.2696
39 Sn 0.9402 0.5680 0.1706
40 Sn 0.8722 0.6026 0.9320
41 Ag 0.2500 0.6250 0.8750
42 Ga 0.6250 0.7500 0.8750
43 Ga 0.3750 0.2500 0.1250
44 Sn 0.7304 0.1278 0.0598
45 Ga 0.3750 0.1250 0.7500
46 Sn 0.8722 0.2696 0.4402
47 Sn 0.6278 0.5680 0.8974
48 Sn 0.6026 0.8722 0.4320
49 Sn 0.4402 0.7696 0.8722
50 Sn 0.2304 0.5598 0.6278
51 Ga 0.8750 0.6250 0.7500
52 Ag 0.8750 0.1250 0.2500
53 Ag 0.1250 0.2500 0.8750
54 Ga 0.5000 0.5000 0.0000
55 Ag 0.3750 0.7500 0.6250
56 Sn 0.5598 0.3294 0.9320
57 Sn 0.2304 0.6706 0.1026
58 Sn 0.3974 0.2696 0.3294
59 Sn 0.1706 0.1026 0.7304
60 Ga 0.6250 0.8750 0.2500
61 Sn 0.6706 0.4402 0.5680
62 Sn 0.2696 0.8722 0.9402
63 Ga 0.1250 0.3750 0.2500
64 Sn 0.7304 0.6026 0.1706
65 Sn 0.1026 0.9320 0.3722
66 Sn 0.1278 0.7304 0.5598
67 Sn 0.6026 0.7304 0.6706
68 Ga 0.0000 0.0000 0.5000
69 Sn 0.8294 0.8974 0.2696
70 Sn 0.6278 0.0598 0.2304
71 Sn 0.5598 0.2304 0.1278
72 Ga 0.8750 0.2500 0.6250
73 Sn 0.5680 0.6278 0.3974
74 Ag 0.7500 0.8750 0.6250
75 Sn 0.0680 0.8974 0.1278
76 Sn 0.8974 0.0680 0.6278
77 Ga 0.5000 0.5000 0.5000
78 Ag 0.6250 0.3750 0.7500
79 Sn 0.5680 0.9402 0.6706
80 Ga 0.1250 0.7500 0.3750

Values from the calculation:
Size of the total moment   0.000 μB/cell
DOS(E_F)   35.60 states/eV/cell
Final energy   -3.465 eV/atom
Symmetry   No. 230